1.
! AlAsRu, relaxed, DFT PBE-GGA; values from VASP
&SYSTEM
  ibrav = 0, nat = 3, ntyp = 3
/
ATOMIC_SPECIES
Ru 101.07 Ru.upf
As 74.92 As.upf
Al 26.98 Al.upf
CELL_PARAMETERS angstrom
-4.225 1.921 0.612
-3.020 0.079 -3.577
2.703 -2.980 2.394
ATOMIC_POSITIONS crystal
Ru 0.665 0.665 0.000
As 0.329 0.329 0.000
Al 0.006 0.006 0.000
! - calculated formation energy (eV per atom) = -0.19
! - M_tot (μB/atom) = 0.00
! - mass density (g/cm³) = 7.5
! - VASP energy (eV for the cell shown) = -18.3
! - volume (Å³/cell) = 44.93

2.
! AlAsRu, relaxed, DFT PBE-GGA; values from VASP
&SYSTEM
  ibrav = 0, nat = 3, ntyp = 3
/
ATOMIC_SPECIES
Ru 101.07 Ru.upf
As 74.92 As.upf
Al 26.98 Al.upf
CELL_PARAMETERS angstrom
6.242 0.127 0.949
4.739 4.064 0.950
-5.099 -1.947 1.113
ATOMIC_POSITIONS crystal
Ru 0.666 0.666 0.994
As 0.167 0.167 0.731
Al 0.167 0.167 0.275
! - calculated formation energy (eV per atom) = -0.38
! - M_tot (μB/atom) = 0.00
! - mass density (g/cm³) = 6.8
! - VASP energy (eV for the cell shown) = -18.8
! - volume (Å³/cell) = 49.39

3.
! AlAsRu2, relaxed, DFT PBE-GGA; values from VASP
&SYSTEM
  ibrav = 0, nat = 4, ntyp = 3
/
ATOMIC_SPECIES
Ru 101.07 Ru.upf
As 74.92 As.upf
Al 26.98 Al.upf
CELL_PARAMETERS angstrom
-3.326 -2.452 1.164
-1.328 -2.392 3.309
-2.743 3.356 2.462
ATOMIC_POSITIONS crystal
Ru 0.997 0.997 0.992
Ru 0.503 0.503 0.508
As 0.750 0.750 0.750
Al 0.250 0.250 0.250
! - calculated formation energy (eV per atom) = -0.22
! - M_tot (μB/atom) = 0.00
! - mass density (g/cm³) = 8.7
! - VASP energy (eV for the cell shown) = -27.8
! - volume (Å³/cell) = 57.92
! - E above lowest polymorph (eV per atom) = 0.182

4.
! AlAsRu2, relaxed, DFT PBE-GGA; values from VASP
&SYSTEM
  ibrav = 0, nat = 4, ntyp = 3
/
ATOMIC_SPECIES
Ru 101.07 Ru.upf
As 74.92 As.upf
Al 26.98 Al.upf
CELL_PARAMETERS angstrom
-4.155 2.359 -1.742
-0.830 0.267 -5.010
1.201 -3.516 3.472
ATOMIC_POSITIONS crystal
Ru 0.000 0.000 0.000
Ru 0.250 0.750 0.500
As 0.750 0.250 0.500
Al 0.500 0.500 0.000
! - calculated formation energy (eV per atom) = -0.07
! - M_tot (μB/atom) = 0.00
! - mass density (g/cm³) = 8.8
! - VASP energy (eV for the cell shown) = -27.2
! - volume (Å³/cell) = 57.40
! - E above lowest polymorph (eV per atom) = 0.333

5.
! AlAsRu2, relaxed, DFT PBE-GGA; values from VASP
&SYSTEM
  ibrav = 0, nat = 4, ntyp = 3
/
ATOMIC_SPECIES
Ru 101.07 Ru.upf
As 74.92 As.upf
Al 26.98 Al.upf
CELL_PARAMETERS angstrom
4.258 0.000 0.000
0.000 4.260 0.000
0.000 0.000 3.046
ATOMIC_POSITIONS crystal
Ru 0.000 0.000 0.000
Ru 0.500 0.500 0.000
As 0.000 0.500 0.500
Al 0.500 0.000 0.500
! - calculated formation energy (eV per atom) = -0.40
! - M_tot (μB/atom) = 0.00
! - mass density (g/cm³) = 9.1
! - VASP energy (eV for the cell shown) = -28.6
! - volume (Å³/cell) = 55.26
! - E above lowest polymorph (eV per atom) = 0.000

6.
! AlAsRu2, relaxed, DFT PBE-GGA; values from VASP
&SYSTEM
  ibrav = 0, nat = 4, ntyp = 3
/
ATOMIC_SPECIES
Ru 101.07 Ru.upf
As 74.92 As.upf
Al 26.98 Al.upf
CELL_PARAMETERS angstrom
5.925 -0.004 0.000
4.002 4.369 0.000
-4.763 -2.639 2.336
ATOMIC_POSITIONS crystal
Ru 0.037 0.037 0.000
Ru 0.790 0.290 0.500
As 0.215 0.715 0.500
Al 0.458 0.458 0.000
! - calculated formation energy (eV per atom) = -0.28
! - M_tot (μB/atom) = 0.00
! - mass density (g/cm³) = 8.3
! - VASP energy (eV for the cell shown) = -28.1
! - volume (Å³/cell) = 60.52
! - E above lowest polymorph (eV per atom) = 0.122